VASP calculation (PBE-GGA) on a relaxed structure of Ho8S6N.

**Formation energy (no corrections)**: -1.230 eV/atom
**Total magnetic moment**: 0.000 μB/atom
**SG**: No. 147
**E_tot**: -5.878 eV per atom
**Calculated volume**: 21.7 Å³/atom

Unit cell a=3.984 b=9.708 c=9.708 alpha=120.00 beta=90.00 gamma=90.00
Sites, in units of the cell vectors:
Ho: 0.735 0.973 0.277
Ho: 0.735 0.723 0.696
Ho: 0.735 0.304 0.027
Ho: 0.265 0.027 0.723
Ho: 0.265 0.277 0.304
Ho: 0.265 0.696 0.973
Ho: 0.745 0.333 0.667
Ho: 0.255 0.667 0.333
S: 0.757 0.652 0.129
S: 0.757 0.871 0.523
S: 0.757 0.477 0.348
S: 0.243 0.348 0.871
S: 0.243 0.129 0.477
S: 0.243 0.523 0.652
N: 0.500 0.000 0.000

---

VASP calculation (PBE-GGA) on a relaxed structure of NdSmAgGe.

**Total magnetic moment**: 0.000 μB/atom
**SG**: No. 216
**E_tot**: -4.757 eV per atom
**Energy relative to the elements**: -518 meV/atom
**Calculated volume**: 25.1 Å³/atom

Unit cell a=5.220 b=5.220 c=5.220 alpha=60.00 beta=60.00 gamma=60.00
Sites, in units of the cell vectors:
Ge: 0.250 0.250 0.250
Nd: 0.500 0.500 0.500
Ag: 0.750 0.750 0.750
Sm: 0.000 0.000 0.000

---

VASP calculation (PBE-GGA) on a relaxed structure of LaMoPb4.

**Total magnetic moment**: 0.667 μB/atom
**SG**: No. 216
**E_tot**: -4.575 eV per atom
**Energy relative to the elements**: 524 meV/atom
**Calculated volume**: 30.9 Å³/atom

Unit cell a=6.402 b=6.402 c=6.402 alpha=60.00 beta=60.00 gamma=60.00
Last column: magnetic moment on the atom in μB.
Sites, in units of the cell vectors:
La: 0.750 0.750 0.750  0.03
Mo: 0.000 0.000 0.000  3.35
Pb: 0.875 0.375 0.375  -0.03
Pb: 0.375 0.375 0.875  -0.03
Pb: 0.375 0.875 0.375  -0.03
Pb: 0.375 0.375 0.375  -0.03